# 1
{"formula": "HfRe2Ge2", "functional": "PBE-GGA", "state": "optimized geometry", "delta_e_f_ev_per_atom": 0.0887, "magmom_total_mub_per_atom": 0.0000, "lattice_angstrom": [[4.163, 0.000, 0.000], [0.000, 4.163, 0.000], [2.082, 2.082, 5.012]], "species": ["Ge", "Ge", "Re", "Re", "Hf"], "frac_coords": [[0.382, 0.382, 0.236], [0.618, 0.618, 0.764], [0.250, 0.750, 0.500], [0.750, 0.250, 0.500], [0.000, 0.000, 0.000]]}


# 2
{"formula": "Y2Ni5As3", "functional": "PBE-GGA", "state": "optimized geometry", "delta_e_f_ev_per_atom": -0.6286, "magmom_total_mub_per_atom": 0.0000, "lattice_angstrom": [[-1.139, 2.197, 3.190], [-5.517, -3.668, 0.555], [6.231, -8.532, 5.546]], "species": ["Ni", "Ni", "Ni", "Ni", "Ni", "Ni", "Ni", "Ni", "Ni", "Ni", "Y", "Y", "Y", "Y", "As", "As", "As", "As", "As", "As"], "frac_coords": [[0.945, 0.088, 0.890], [0.722, 0.018, 0.443], [0.278, 0.518, 0.557], [0.055, 0.588, 0.110], [0.408, 0.359, 0.816], [0.127, 0.289, 0.253], [0.290, 0.910, 0.580], [0.592, 0.859, 0.184], [0.710, 0.410, 0.420], [0.873, 0.789, 0.747], [0.175, 0.749, 0.350], [0.523, 0.253, 0.045], [0.825, 0.249, 0.650], [0.477, 0.753, 0.955], [0.386, 0.016, 0.772], [0.614, 0.516, 0.228], [0.227, 0.211, 0.453], [0.054, 0.973, 0.107], [0.946, 0.473, 0.893], [0.773, 0.711, 0.547]]}


# 3
{"formula": "YAgPt2", "functional": "PBE-GGA", "state": "optimized geometry", "delta_e_f_ev_per_atom": -0.7075, "magmom_total_mub_per_atom": 0.0000, "lattice_angstrom": [[3.570, 0.000, 0.000], [0.000, 3.592, 0.011], [0.000, 3.573, 5.916]], "species": ["Pt", "Pt", "Y", "Ag"], "frac_coords": [[0.000, 0.493, 0.507], [0.000, 0.007, 0.993], [0.500, 0.250, 0.250], [0.500, 0.750, 0.750]]}


# 4
{"formula": "La12Hg5Ir2", "functional": "PBE-GGA", "state": "optimized geometry", "delta_e_f_ev_per_atom": -0.3615, "magmom_total_mub_per_atom": 0.0000, "lattice_angstrom": [[-2.024, 5.777, -5.455], [-5.907, -0.934, 7.364], [7.540, 5.227, 2.738]], "species": ["La", "La", "La", "La", "La", "La", "La", "La", "La", "La", "La", "La", "Ir", "Ir", "Hg", "Hg", "Hg", "Hg", "Hg"], "frac_coords": [[0.433, 0.350, 0.189], [0.526, 0.051, 0.823], [0.082, 0.650, 0.811], [0.060, 0.121, 0.848], [0.184, 0.751, 0.430], [0.918, 0.350, 0.189], [0.474, 0.949, 0.177], [0.567, 0.751, 0.430], [0.567, 0.650, 0.811], [0.433, 0.249, 0.570], [0.940, 0.879, 0.152], [0.816, 0.249, 0.570], [0.243, 0.000, 0.000], [0.757, 0.000, 0.000], [0.728, 0.455, 0.946], [0.000, 0.000, 0.500], [0.226, 0.452, 0.508], [0.272, 0.545, 0.054], [0.774, 0.548, 0.492]]}


# 5
{"formula": "Te2S2Br", "functional": "PBE-GGA", "state": "optimized geometry", "formation_energy_uncorrected_ev_per_atom": 0.238, "magmom_total_mub_per_atom": 0.0000, "lattice_angstrom": [[8.798, 0.000, 0.000], [0.000, 8.798, 0.000], [0.000, 0.000, 3.423]], "species": ["S", "S", "S", "S", "Br", "Br", "Te", "Te", "Te", "Te"], "frac_coords": [[0.112, 0.612, 0.500], [0.888, 0.388, 0.500], [0.612, 0.888, 0.500], [0.388, 0.112, 0.500], [0.500, 0.500, 0.000], [0.000, 0.000, 0.000], [0.264, 0.764, 0.000], [0.236, 0.264, 0.000], [0.764, 0.736, 0.000], [0.736, 0.236, 0.000]]}


# 6
{"formula": "LaTbSb2", "functional": "PBE-GGA", "state": "optimized geometry", "formation_energy_uncorrected_ev_per_atom": -1.081, "magmom_total_mub_per_atom": 0.0000, "lattice_angstrom": [[4.480, 0.000, 0.000], [2.240, 3.880, 0.000], [2.240, 1.293, 7.665]], "species": ["Sb", "Sb", "Tb", "La"], "frac_coords": [[0.086, 0.086, 0.742], [0.247, 0.247, 0.259], [0.498, 0.498, 0.506], [0.669, 0.669, 0.993]]}